# ZrNiSn2F

A relaxed structure of ZrNiSn2F (PBE+U, the Alexandria database).

Lattice parameters (Å, degrees): 5.6479 5.6479 4.5185 90.00 90.00 90.00
Element x y z (fractional)
Zr1 0.0000 0.0000 0.0000
Ni1 0.0000 0.0000 0.5000
Sn1 0.0000 0.5000 0.0000
Sn2 0.5000 0.0000 0.0000
F1 0.5000 0.5000 0.5000

Results
Electronic total energy: -3.53 eV/atom
Total magnetization: 0.0 μB/cell